No. 1
NaBeSO4: relaxed, PBE.

Geometry as POSCAR:
```
NaBeSO4
1.0
-2.511 2.511 3.375
2.511 -2.511 3.375
2.511 2.511 -3.375
Na Be S O
1 1 1 4
Direct
0.000 0.000 0.000 Na
0.500 0.500 0.000 Be
0.750 0.250 0.500 S
0.123 0.502 0.895 O
0.498 0.393 0.621 O
0.607 0.228 0.105 O
0.772 0.877 0.379 O
```

N(E_F) in states/eV/cell: 2.01
V in Å³ per atom: 12.16
E_form (uncorrected) in meV/atom: -1383

No. 2
CaYSi: relaxed, PBE.

Geometry as POSCAR:
```
CaYSi
1.0
4.752 0.000 0.000
-2.376 4.116 0.000
0.000 0.000 4.261
Ca Y Si
1 1 1
Direct
0.000 0.000 0.000 Ca
0.333 0.667 0.510 Y
0.667 0.333 0.298 Si
```

N(E_F) in states/eV/cell: 3.69
V in Å³ per atom: 27.78
E_form (uncorrected) in meV/atom: -205

No. 3
LiHg8Pb5: relaxed, PBE.

Geometry as POSCAR:
```
LiHg8Pb5
1.0
7.384 0.000 0.000
-2.765 6.927 0.000
-1.849 -3.604 7.642
Li Hg Pb
1 8 5
Direct
0.000 0.000 0.000 Li
0.100 0.275 0.835 Hg
0.181 0.044 0.348 Hg
0.228 0.765 0.947 Hg
0.434 0.288 0.166 Hg
0.682 0.849 0.664 Hg
0.697 0.862 0.157 Hg
0.720 0.546 0.843 Hg
0.814 0.279 0.069 Hg
0.219 0.480 0.578 Pb
0.295 0.649 0.272 Pb
0.370 0.045 0.737 Pb
0.701 0.205 0.497 Pb
0.892 0.657 0.432 Pb
```

E_tot in eV/atom: -1.645
N(E_F) in states/eV/cell: 5.32
V in Å³ per atom: 27.92

No. 4
HgMo2Ir: relaxed, PBE.

Geometry as POSCAR:
```
HgMo2Ir
1.0
2.808 0.000 0.000
0.000 2.808 0.000
0.000 0.000 8.352
Hg Mo Ir
1 2 1
Direct
0.000 0.000 0.000 Hg
0.500 0.500 0.271 Mo
0.500 0.500 0.729 Mo
0.000 0.000 0.500 Ir
```

E_tot in eV/atom: -7.540
N(E_F) in states/eV/cell: 1.68
V in Å³ per atom: 16.46

No. 5
Y2Cd3Ag2: relaxed, PBE.

Geometry as POSCAR:
```
Y2Cd3Ag2
1.0
5.033 -2.337 0.000
5.033 2.337 0.000
-2.523 0.000 6.893
Y Cd Ag
2 3 2
Direct
0.137 0.137 0.273 Y
0.863 0.863 0.727 Y
0.380 0.380 0.067 Cd
0.500 0.500 0.500 Cd
0.620 0.620 0.933 Cd
0.158 0.158 0.701 Ag
0.842 0.842 0.299 Ag
```

Energy above the lowest structure with this stoichiometry in eV per formula unit: 0.00
N(E_F) in states/eV/cell: 4.57
V in Å³ per atom: 23.16

No. 6
PmY7Tm3: relaxed, PBE.

Geometry as POSCAR:
```
PmY7Tm3
1.0
-2.889 5.563 5.634
2.889 -5.563 5.634
2.889 5.563 -5.634
Pm Y Tm
1 7 3
Direct
0.000 0.000 0.000 Pm
0.000 0.500 0.500 Y
0.101 0.300 0.800 Y
0.294 0.000 0.294 Y
0.500 0.300 0.200 Y
0.500 0.700 0.800 Y
0.706 0.000 0.706 Y
0.899 0.700 0.200 Y
0.295 0.795 0.500 Tm
0.500 0.500 0.000 Tm
0.705 0.205 0.500 Tm
```

Energy above the lowest structure with this stoichiometry in eV per formula unit: 1.25
N(E_F) in states/eV/cell: 17.63
V in Å³ per atom: 32.92

No. 7
YEr6Co3: relaxed, PBE.

Geometry as POSCAR:
```
YEr6Co3
1.0
4.980 -6.828 0.000
4.980 6.828 0.000
0.000 0.000 7.232
Y Er Co
2 12 6
Direct
0.245 0.755 0.500 Y
0.755 0.245 0.000 Y
0.110 0.484 0.166 Er
0.128 0.228 0.795 Er
0.156 0.844 0.928 Er
0.228 0.128 0.295 Er
0.484 0.110 0.666 Er
0.494 0.506 0.518 Er
0.506 0.494 0.018 Er
0.516 0.890 0.166 Er
0.772 0.872 0.795 Er
0.844 0.156 0.428 Er
0.872 0.772 0.295 Er
0.890 0.516 0.666 Er
0.057 0.943 0.597 Co
0.220 0.551 0.818 Co
0.449 0.780 0.818 Co
0.551 0.220 0.318 Co
0.780 0.449 0.318 Co
0.943 0.057 0.097 Co
```

E_tot in eV/atom: -5.599
N(E_F) in states/eV/cell: 19.28
V in Å³ per atom: 24.59

No. 8
Tb6Pm2HoEr: relaxed, PBE.

Geometry as POSCAR:
```
Tb6Pm2HoEr
1.0
4.516 -7.541 0.000
4.516 7.541 0.000
-1.459 0.000 9.564
Tb Pm Ho Er
12 4 2 2
Direct
0.020 0.575 0.187 Tb
0.125 0.748 0.557 Tb
0.252 0.875 0.943 Tb
0.291 0.502 0.380 Tb
0.425 0.980 0.313 Tb
0.498 0.709 0.120 Tb
0.502 0.291 0.880 Tb
0.575 0.020 0.687 Tb
0.709 0.498 0.620 Tb
0.748 0.125 0.057 Tb
0.875 0.252 0.443 Tb
0.980 0.425 0.813 Tb
0.195 0.298 0.042 Pm
0.298 0.195 0.542 Pm
0.702 0.805 0.458 Pm
0.805 0.702 0.958 Pm
0.019 0.981 0.250 Ho
0.981 0.019 0.750 Ho
0.408 0.592 0.750 Er
0.592 0.408 0.250 Er
```

E_tot in eV/atom: -4.526
N(E_F) in states/eV/cell: 27.09
V in Å³ per atom: 32.57

No. 9
CdAgSb: relaxed, PBE.

Geometry as POSCAR:
```
CdAgSb
1.0
0.000 3.340 3.340
3.340 0.000 3.340
3.340 3.340 0.000
Cd Ag Sb
1 1 1
Direct
0.000 0.000 0.000 Cd
0.250 0.250 0.250 Ag
0.500 0.500 0.500 Sb
```

N(E_F) in states/eV/cell: 1.42
V in Å³ per atom: 24.84
E_form (uncorrected) in meV/atom: 9

No. 10
B2HI8: relaxed, PBE.

Geometry as POSCAR:
```
B2HI8
1.0
6.832 -4.588 0.000
6.832 4.588 0.000
-1.715 0.000 7.376
B H I
2 1 8
Direct
0.211 0.211 0.317 B
0.789 0.789 0.683 B
0.000 0.000 0.000 H
0.068 0.694 0.834 I
0.204 0.204 0.608 I
0.306 0.932 0.166 I
0.367 0.367 0.284 I
0.633 0.633 0.716 I
0.694 0.068 0.834 I
0.796 0.796 0.392 I
0.932 0.306 0.166 I
```

Energy above the lowest structure with this stoichiometry in eV per formula unit: 1.52
N(E_F) in states/eV/cell: 7.28
V in Å³ per atom: 42.04

No. 11
Tm2SiB3: relaxed, PBE.

Geometry as POSCAR:
```
Tm2SiB3
1.0
0.000 3.959 5.859
3.390 0.000 5.859
3.390 3.959 0.000
Tm Si B
4 2 6
Direct
0.244 0.756 0.244 Tm
0.250 0.250 0.250 Tm
0.750 0.750 0.750 Tm
0.756 0.244 0.756 Tm
0.334 0.334 0.666 Si
0.666 0.666 0.334 Si
0.155 0.155 0.845 B
0.155 0.691 0.845 B
0.309 0.845 0.691 B
0.691 0.155 0.309 B
0.845 0.309 0.155 B
0.845 0.845 0.155 B
```

N(E_F) in states/eV/cell: 3.67
V in Å³ per atom: 13.11
E_form (uncorrected) in meV/atom: -666

No. 12
Cs2DyGeTe4: relaxed, PBE.

Geometry as POSCAR:
```
Cs2DyGeTe4
1.0
0.000 7.907 13.969
3.520 0.000 13.969
3.520 7.907 0.000
Cs Dy Ge Te
4 2 2 8
Direct
0.056 0.056 0.694 Cs
0.306 0.306 0.944 Cs
0.694 0.694 0.056 Cs
0.944 0.944 0.306 Cs
0.125 0.125 0.125 Dy
0.875 0.875 0.875 Dy
0.375 0.375 0.375 Ge
0.625 0.625 0.625 Ge
0.017 0.343 0.441 Te
0.300 0.559 0.657 Te
0.343 0.017 0.700 Te
0.441 0.700 0.017 Te
0.559 0.300 0.983 Te
0.657 0.983 0.300 Te
0.700 0.441 0.343 Te
0.983 0.657 0.559 Te
```

N(E_F) in states/eV/cell: 11.60
V in Å³ per atom: 48.59
E_form (uncorrected) in meV/atom: -826